Version a
# SiOsRu

A geometry-optimized SiOsRu structure (PBE-GGA, the Alexandria database).

Cell and atoms, written as CIF:
```
data_SiOsRu
_chemical_formula_sum 'Si1 Os1 Ru1'
_cell_length_a 2.7707
_cell_length_b 2.7707
_cell_length_c 6.1117
_cell_angle_alpha 90.00
_cell_angle_beta 90.00
_cell_angle_gamma 120.00
_space_group_name_H-M_alt 'P 1'
_space_group_IT_number 1
loop_
_space_group_symop_operation_xyz
'x,y,z'
loop_
_atom_site_label
_atom_site_fract_x
_atom_site_fract_y
_atom_site_fract_z
Si1 0.0000 0.0000 0.0000
Os1 0.6667 0.3333 0.3241
Ru1 0.3333 0.6667 0.6849
```

Total moment, Bohr magnetons per cell: 0.00

=====

Version b
# SiOsRu

A geometry-optimized SiOsRu structure (PBE-GGA, the Alexandria database).

Cell and atoms, written as CIF:
```
data_SiOsRu
_chemical_formula_sum 'Si4 Os4 Ru4'
_cell_length_a 2.8652
_cell_length_b 4.7496
_cell_length_c 12.3059
_cell_angle_alpha 90.00
_cell_angle_beta 90.00
_cell_angle_gamma 90.00
_space_group_name_H-M_alt 'P 1'
_space_group_IT_number 1
loop_
_space_group_symop_operation_xyz
'x,y,z'
loop_
_atom_site_label
_atom_site_fract_x
_atom_site_fract_y
_atom_site_fract_z
Si1 0.0000 0.0000 0.0000
Si2 0.0000 0.5000 0.5000
Si3 0.5000 0.0000 0.5000
Si4 0.5000 0.5000 0.0000
Os1 0.0000 0.0000 0.3432
Os2 0.0000 0.5000 0.8432
Os3 0.5000 0.0000 0.8432
Os4 0.5000 0.5000 0.3432
Ru1 0.0000 0.0000 0.6524
Ru2 0.0000 0.5000 0.1524
Ru3 0.5000 0.0000 0.1524
Ru4 0.5000 0.5000 0.6524
```

Total moment, Bohr magnetons per cell: 0.00

=====

Version c
# SiOsRu

A geometry-optimized SiOsRu structure (PBE-GGA, the Alexandria database).

Cell and atoms, written as CIF:
```
data_SiOsRu
_chemical_formula_sum 'Si2 Os2 Ru2'
_cell_length_a 2.8894
_cell_length_b 2.8894
_cell_length_c 9.5622
_cell_angle_alpha 90.00
_cell_angle_beta 90.00
_cell_angle_gamma 90.00
_space_group_name_H-M_alt 'P 1'
_space_group_IT_number 1
loop_
_space_group_symop_operation_xyz
'x,y,z'
loop_
_atom_site_label
_atom_site_fract_x
_atom_site_fract_y
_atom_site_fract_z
Si1 0.0000 0.0000 0.0000
Si2 0.5000 0.5000 0.5000
Os1 0.0000 0.0000 0.3494
Os2 0.5000 0.5000 0.8494
Ru1 0.0000 0.0000 0.6496
Ru2 0.5000 0.5000 0.1496
```

Total moment, Bohr magnetons per cell: 0.00

=====

Version d
# SiOsRu

A geometry-optimized SiOsRu structure (PBE-GGA, the Alexandria database).

Cell and atoms, written as CIF:
```
data_SiOsRu
_chemical_formula_sum 'Si4 Os4 Ru4'
_cell_length_a 7.6747
_cell_length_b 4.2272
_cell_length_c 5.5718
_cell_angle_alpha 90.00
_cell_angle_beta 90.00
_cell_angle_gamma 90.00
_space_group_name_H-M_alt 'P 1'
_space_group_IT_number 1
loop_
_space_group_symop_operation_xyz
'x,y,z'
loop_
_atom_site_label
_atom_site_fract_x
_atom_site_fract_y
_atom_site_fract_z
Si1 0.1442 0.2500 0.1858
Si2 0.3558 0.7500 0.6858
Si3 0.6442 0.2500 0.3142
Si4 0.8558 0.7500 0.8142
Os1 0.0791 0.7500 0.4654
Os2 0.4209 0.2500 0.9654
Os3 0.5791 0.7500 0.0346
Os4 0.9209 0.2500 0.5346
Ru1 0.1380 0.7500 0.9868
Ru2 0.3620 0.2500 0.4868
Ru3 0.6380 0.7500 0.5132
Ru4 0.8620 0.2500 0.0132
```

Total moment, Bohr magnetons per cell: 0.00

=====

Most stable to least stable, the ends of the list are version c and version b.

=====

Version a
# SiOsRu

A geometry-optimized SiOsRu structure (PBE-GGA, the Alexandria database).

Cell and atoms, written as CIF:
```
data_SiOsRu
_chemical_formula_sum 'Si2 Os2 Ru2'
_cell_length_a 2.7985
_cell_length_b 3.8361
_cell_length_c 7.6463
_cell_angle_alpha 90.00
_cell_angle_beta 90.00
_cell_angle_gamma 90.00
_space_group_name_H-M_alt 'P 1'
_space_group_IT_number 1
loop_
_space_group_symop_operation_xyz
'x,y,z'
loop_
_atom_site_label
_atom_site_fract_x
_atom_site_fract_y
_atom_site_fract_z
Si1 0.0000 0.0000 0.0000
Si2 0.5000 0.5000 0.5000
Os1 0.0000 0.0000 0.6699
Os2 0.5000 0.5000 0.1699
Ru1 0.0000 0.0000 0.3294
Ru2 0.5000 0.5000 0.8294
```

Total moment, Bohr magnetons per cell: 0.00

=====

Version b
# SiOsRu

A geometry-optimized SiOsRu structure (PBE-GGA, the Alexandria database).

Cell and atoms, written as CIF:
```
data_SiOsRu
_chemical_formula_sum 'Si4 Os4 Ru4'
_cell_length_a 5.6432
_cell_length_b 5.6432
_cell_length_c 5.6432
_cell_angle_alpha 90.00
_cell_angle_beta 90.00
_cell_angle_gamma 90.00
_space_group_name_H-M_alt 'P 1'
_space_group_IT_number 1
loop_
_space_group_symop_operation_xyz
'x,y,z'
loop_
_atom_site_label
_atom_site_fract_x
_atom_site_fract_y
_atom_site_fract_z
Si1 0.0000 0.0000 0.0000
Si2 0.0000 0.5000 0.5000
Si3 0.5000 0.0000 0.5000
Si4 0.5000 0.5000 0.0000
Os1 0.2500 0.2500 0.2500
Os2 0.2500 0.7500 0.7500
Os3 0.7500 0.2500 0.7500
Os4 0.7500 0.7500 0.2500
Ru1 0.2500 0.2500 0.7500
Ru2 0.2500 0.7500 0.2500
Ru3 0.7500 0.2500 0.2500
Ru4 0.7500 0.7500 0.7500
```

Total moment, Bohr magnetons per cell: 0.00

=====

Most stable to least stable, the ends of the list are version a and version b.

=====

Version a
# SmOsRu

A geometry-optimized SmOsRu structure (PBE-GGA, the Alexandria database).

Cell and atoms, written as CIF:
```
data_SmOsRu
_chemical_formula_sum 'Sm4 Os4 Ru4'
_cell_length_a 5.2285
_cell_length_b 5.5504
_cell_length_c 7.6825
_cell_angle_alpha 90.00
_cell_angle_beta 90.00
_cell_angle_gamma 90.00
_space_group_name_H-M_alt 'P 1'
_space_group_IT_number 1
loop_
_space_group_symop_operation_xyz
'x,y,z'
loop_
_atom_site_label
_atom_site_fract_x
_atom_site_fract_y
_atom_site_fract_z
Sm1 0.0000 0.2500 0.1236
Sm2 0.0000 0.7500 0.8764
Sm3 0.5000 0.2500 0.3764
Sm4 0.5000 0.7500 0.6236
Os1 0.2500 0.2500 0.7500
Os2 0.2500 0.7500 0.2500
Os3 0.7500 0.2500 0.7500
Os4 0.7500 0.7500 0.2500
Ru1 0.0000 0.0000 0.5000
Ru2 0.0000 0.5000 0.5000
Ru3 0.5000 0.0000 0.0000
Ru4 0.5000 0.5000 0.0000
```

Total moment, Bohr magnetons per cell: 0.00

=====

Version b
# SmOsRu

A geometry-optimized SmOsRu structure (PBE-GGA, the Alexandria database).

Cell and atoms, written as CIF:
```
data_SmOsRu
_chemical_formula_sum 'Sm4 Os4 Ru4'
_cell_length_a 10.1876
_cell_length_b 4.4547
_cell_length_c 7.1375
_cell_angle_alpha 90.00
_cell_angle_beta 132.97
_cell_angle_gamma 90.00
_space_group_name_H-M_alt 'P 1'
_space_group_IT_number 1
loop_
_space_group_symop_operation_xyz
'x,y,z'
loop_
_atom_site_label
_atom_site_fract_x
_atom_site_fract_y
_atom_site_fract_z
Sm1 0.0635 0.0000 0.3162
Sm2 0.4365 0.5000 0.6838
Sm3 0.5635 0.5000 0.3162
Sm4 0.9365 0.0000 0.6838
Os1 0.1557 0.5000 0.0777
Os2 0.3443 0.0000 0.9223
Os3 0.6557 0.0000 0.0777
Os4 0.8443 0.5000 0.9223
Ru1 0.1702 0.5000 0.7434
Ru2 0.3298 0.0000 0.2566
Ru3 0.6702 0.0000 0.7434
Ru4 0.8298 0.5000 0.2566
```

Total moment, Bohr magnetons per cell: 0.00

=====

Most stable to least stable, the ends of the list are version a and version b.